(1)
## HfRu3S (SCAN)

Data for a crystal of HfRu3S relaxed with PBEsol. Values from VASP.

Geometry as Quantum ESPRESSO input:
```
&SYSTEM
  ibrav = 0, nat = 5, ntyp = 3
/
ATOMIC_SPECIES
Ru 101.07 Ru.upf
S 32.06 S.upf
Hf 178.49 Hf.upf
ATOMIC_POSITIONS angstrom
Ru 0.000 2.142 0.000
Ru 0.000 0.000 2.142
Ru 2.142 0.000 0.000
S 0.000 0.000 0.000
Hf 2.142 2.142 2.142
CELL_PARAMETERS angstrom
4.283 0.000 0.000
0.000 4.283 0.000
0.000 0.000 4.283
```

Summary:
Its space group is No. 221.


(2)
## Ta11Co2Se8 (SCAN)

Data for a crystal of Ta11Co2Se8 relaxed with PBEsol. Values from VASP.

Geometry as Quantum ESPRESSO input:
```
&SYSTEM
  ibrav = 0, nat = 42, ntyp = 3
/
ATOMIC_SPECIES
Co 58.93 Co.upf
Se 78.96 Se.upf
Ta 180.95 Ta.upf
ATOMIC_POSITIONS angstrom
Co 0.000 1.120 2.479
Co 0.000 10.897 16.837
Co 1.693 4.889 12.136
Co 1.693 7.128 7.179
Se 0.000 1.304 10.672
Se 0.000 10.713 8.644
Se 1.693 4.704 1.014
Se 1.693 7.312 18.301
Se 0.000 5.510 15.983
Se 0.000 6.506 3.332
Se 1.693 0.498 6.326
Se 1.693 11.519 12.990
Se 0.000 2.486 18.237
Se 0.000 9.530 1.079
Se 1.693 3.522 8.579
Se 1.693 8.494 10.736
Se 0.000 3.393 5.517
Se 0.000 8.624 13.798
Se 1.693 2.616 15.175
Se 1.693 9.401 4.140
Ta 0.000 0.000 0.000
Ta 1.693 6.008 9.658
Ta 0.000 4.176 13.758
Ta 0.000 7.841 5.558
Ta 1.693 1.833 4.100
Ta 1.693 10.184 15.215
Ta 0.000 3.920 2.817
Ta 0.000 8.096 16.499
Ta 1.693 2.088 12.474
Ta 1.693 9.929 6.841
Ta 0.000 5.258 7.415
Ta 0.000 6.758 11.900
Ta 1.693 0.750 17.073
Ta 1.693 11.266 2.243
Ta 0.000 0.655 14.612
Ta 0.000 11.362 4.703
Ta 1.693 5.353 4.954
Ta 1.693 6.663 14.361
Ta 0.000 3.844 10.667
Ta 0.000 8.172 8.649
Ta 1.693 2.164 1.009
Ta 1.693 9.852 18.306
CELL_PARAMETERS angstrom
3.386 0.000 0.000
0.000 12.016 0.000
0.000 0.000 19.315
```

Summary:
Its space group is No. 58.


(3)
## BiP2NF (SCAN)

Data for a crystal of BiP2NF relaxed with PBEsol. Values from VASP.

Geometry as Quantum ESPRESSO input:
```
&SYSTEM
  ibrav = 0, nat = 5, ntyp = 4
/
ATOMIC_SPECIES
P 30.97 P.upf
N 14.01 N.upf
Bi 208.98 Bi.upf
F 19.00 F.upf
ATOMIC_POSITIONS angstrom
P 2.370 0.427 1.170
P 0.126 -2.585 0.689
N -0.988 0.442 1.840
Bi 0.000 0.000 0.000
F 1.509 -1.715 3.698
CELL_PARAMETERS angstrom
-1.975 0.884 3.679
0.252 -5.169 1.378
4.741 0.855 2.340
```

Summary:
Its space group is No. 123.


| no. | calculated total energy (Ry per atom) | M_tot (μB/atom) |
| --- | --- | --- |
| 1 | -2.5960 | 0.000 |
| 2 | -3.2889 | 0.000 |
| 3 | -1.5275 | 1.016 |